DFT (PBE-GGA) results for K2HfSnHg after structural relaxation.

Lattice parameters (Å, degrees): 6.0049 5.6527 6.0049 90.00 90.00 90.00
Each line ends with the local moment (μB).
Fractional coordinates of all 5 atoms:
K 0.5000 0.0000 0.0000  0.02
K 0.0000 0.0000 0.5000  0.02
Sn 0.0000 0.5000 0.0000  -0.02
Hf 0.5000 0.5000 0.5000  1.12
Hg 0.0000 0.0000 0.0000  0.00

Properties
* space group: P4/mmm (123)
* DFT formation energy: 958 meV per atom
* raw total energy: -2.333 eV per atom
* total moment: 2.16 Bohr magnetons per cell